# SrTa2Au (PBE, optimized geometry)
data_SrTa2Au
_cell_length_a 3.3301
_cell_length_b 3.3301
_cell_length_c 28.8491
_cell_angle_alpha 90.00
_cell_angle_beta 90.00
_cell_angle_gamma 120.00
_space_group_name_H-M_alt 'R 3 m'
_space_group_IT_number 160
_space_group_name_Hall 'R 3 -2"'
loop_
_atom_site_label
_atom_site_type_symbol
_atom_site_fract_x
_atom_site_fract_y
_atom_site_fract_z
Sr1 Sr 0.0000 0.0000 0.0000
Ta1 Ta 0.0000 0.0000 0.2312
Ta2 Ta 0.0000 0.0000 0.4967
Au1 Au 0.0000 0.0000 0.7570
# - Formation energy from the elements: 0.448 eV per atom
# - Total moment: 2.483 Bohr magnetons per cell
# - Energy above the lowest structure with this stoichiometry: 228.2 meV/atom
# - Calculated volume: 23.1 A^3/atom
# - Mass density: 11.62 g/cm³

---

# BaSrAs2 (PBE, optimized geometry)
data_BaSrAs2
_cell_length_a 6.8154
_cell_length_b 8.2840
_cell_length_c 4.2060
_cell_angle_alpha 90.00
_cell_angle_beta 90.00
_cell_angle_gamma 90.00
_space_group_name_H-M_alt 'C m m m'
_space_group_IT_number 65
_space_group_name_Hall '-C 2 2'
loop_
_atom_site_label
_atom_site_type_symbol
_atom_site_fract_x
_atom_site_fract_y
_atom_site_fract_z
Ba1 Ba 0.0000 0.0000 0.0000
Sr1 Sr 0.0000 0.5000 0.0000
As1 As 0.2500 0.2500 0.5000
# - Formation energy from the elements: -0.820 eV per atom
# - Total moment: 0.000 Bohr magnetons per cell
# - Energy above the lowest structure with this stoichiometry: 157.0 meV/atom
# - Calculated volume: 29.7 A^3/atom
# - Mass density: 5.24 g/cm³

---

# Tb2Er2Au3 (PBE, optimized geometry)
data_Tb2Er2Au3
_cell_length_a 5.0084
_cell_length_b 5.0121
_cell_length_c 8.7843
_cell_angle_alpha 106.30
_cell_angle_beta 90.18
_cell_angle_gamma 119.95
_space_group_name_H-M_alt 'P -1'
_space_group_IT_number 2
_space_group_name_Hall '-P 1'
loop_
_atom_site_label
_atom_site_type_symbol
_atom_site_fract_x
_atom_site_fract_y
_atom_site_fract_z
Tb1 Tb 0.1241 0.2486 0.3737
Er1 Er 0.3743 0.7488 0.1236
Au1 Au 0.0000 0.0000 0.0000
Au2 Au 0.2455 0.4905 0.7355
# - Formation energy from the elements: -0.694 eV per atom
# - Total moment: 0.000 Bohr magnetons per cell
# - Calculated volume: 25.8 A^3/atom
# - Mass density: 11.43 g/cm³

---

# BaCdPb2 (PBE, optimized geometry)
data_BaCdPb2
_cell_length_a 9.8849
_cell_length_b 4.8363
_cell_length_c 6.1946
_cell_angle_alpha 90.00
_cell_angle_beta 108.36
_cell_angle_gamma 90.00
_space_group_name_H-M_alt 'C 1 2/m 1'
_space_group_IT_number 12
_space_group_name_Hall '-C 2y'
loop_
_atom_site_label
_atom_site_type_symbol
_atom_site_fract_x
_atom_site_fract_y
_atom_site_fract_z
Ba1 Ba 0.0000 0.0000 0.0000
Cd1 Cd 0.0000 0.5000 0.5000
Pb1 Pb 0.2430 0.0000 0.6720
# - Formation energy from the elements: -0.299 eV per atom
# - Total moment: 0.000 Bohr magnetons per cell
# - Calculated volume: 35.1 A^3/atom
# - Mass density: 7.85 g/cm³

---

# BeHg2Sb (PBE, optimized geometry)
data_BeHg2Sb
_cell_length_a 7.1162
_cell_length_b 7.1162
_cell_length_c 7.1162
_cell_angle_alpha 90.00
_cell_angle_beta 90.00
_cell_angle_gamma 90.00
_space_group_name_H-M_alt 'F m -3 m'
_space_group_IT_number 225
_space_group_name_Hall '-F 4 2 3'
loop_
_atom_site_label
_atom_site_type_symbol
_atom_site_fract_x
_atom_site_fract_y
_atom_site_fract_z
Be1 Be 0.0000 0.0000 0.0000
Hg1 Hg 0.2500 0.2500 0.2500
Sb1 Sb 0.0000 0.0000 0.5000
# - Total moment: 0.000 Bohr magnetons per cell
# - Energy above the lowest structure with this stoichiometry: 446.1 meV/atom
# - Calculated volume: 22.5 A^3/atom
# - E_form (uncorrected): 0.613 eV per atom
# - Mass density: 9.80 g/cm³

---

# Tc2HgPt (PBE, optimized geometry)
data_Tc2HgPt
_cell_length_a 3.8856
_cell_length_b 3.8856
_cell_length_c 8.5380
_cell_angle_alpha 90.00
_cell_angle_beta 90.00
_cell_angle_gamma 90.00
_space_group_name_H-M_alt 'I 4/m m m'
_space_group_IT_number 139
_space_group_name_Hall '-I 4 2'
loop_
_atom_site_label
_atom_site_type_symbol
_atom_site_fract_x
_atom_site_fract_y
_atom_site_fract_z
Tc1 Tc 0.0000 0.5000 0.2500
Hg1 Hg 0.0000 0.0000 0.0000
Pt1 Pt 0.0000 0.0000 0.5000
# - Formation energy from the elements: 0.379 eV per atom
# - Total moment: 0.000 Bohr magnetons per cell
# - Calculated volume: 16.1 A^3/atom
# - Mass density: 15.24 g/cm³

---

# TbGdCuPt (PBE, optimized geometry)
data_TbGdCuPt
_cell_length_a 7.0179
_cell_length_b 7.0179
_cell_length_c 7.0179
_cell_angle_alpha 90.00
_cell_angle_beta 90.00
_cell_angle_gamma 90.00
_space_group_name_H-M_alt 'F -4 3 m'
_space_group_IT_number 216
_space_group_name_Hall 'F -4 2 3'
loop_
_atom_site_label
_atom_site_type_symbol
_atom_site_fract_x
_atom_site_fract_y
_atom_site_fract_z
Tb1 Tb 0.0000 0.0000 0.0000
Gd1 Gd 0.0000 0.0000 0.5000
Cu1 Cu 0.2500 0.2500 0.7500
Pt1 Pt 0.2500 0.2500 0.2500
# - Formation energy from the elements: -0.734 eV per atom
# - Total moment: 28.342 Bohr magnetons per cell
# - Calculated volume: 21.6 A^3/atom
# - Mass density: 11.05 g/cm³

---

# Y4InPt (PBE, optimized geometry)
data_Y4InPt
_cell_length_a 7.4157
_cell_length_b 7.1681
_cell_length_c 7.0096
_cell_angle_alpha 90.00
_cell_angle_beta 92.66
_cell_angle_gamma 90.00
_space_group_name_H-M_alt 'P 1 21/c 1'
_space_group_IT_number 14
_space_group_name_Hall '-P 2ybc'
loop_
_atom_site_label
_atom_site_type_symbol
_atom_site_fract_x
_atom_site_fract_y
_atom_site_fract_z
Y1 Y 0.1469 0.1637 0.1766
Y2 Y 0.3233 0.6445 0.1233
In1 In 0.5000 0.0000 0.0000
Pt1 Pt 0.0000 0.0000 0.5000
# - Formation energy from the elements: -0.457 eV per atom
# - Total moment: 0.000 Bohr magnetons per cell
# - Energy above the lowest structure with this stoichiometry: 229.6 meV/atom
# - Calculated volume: 31.0 A^3/atom
# - Mass density: 5.94 g/cm³

---

# ZnTc2Os (PBE, optimized geometry)
data_ZnTc2Os
_cell_length_a 9.1998
_cell_length_b 2.7563
_cell_length_c 4.6278
_cell_angle_alpha 90.00
_cell_angle_beta 100.27
_cell_angle_gamma 90.00
_space_group_name_H-M_alt 'C 1 2/m 1'
_space_group_IT_number 12
_space_group_name_Hall '-C 2y'
loop_
_atom_site_label
_atom_site_type_symbol
_atom_site_fract_x
_atom_site_fract_y
_atom_site_fract_z
Zn1 Zn 0.0000 0.0000 0.0000
Tc1 Tc 0.2422 0.0000 0.7432
Os1 Os 0.0000 0.5000 0.5000
# - Formation energy from the elements: 0.183 eV per atom
# - Total moment: 0.000 Bohr magnetons per cell
# - Calculated volume: 14.4 A^3/atom
# - Mass density: 12.99 g/cm³

---

# HgAs2Pb (PBE, optimized geometry)
data_HgAs2Pb
_cell_length_a 7.2637
_cell_length_b 7.2637
_cell_length_c 7.2637
_cell_angle_alpha 90.00
_cell_angle_beta 90.00
_cell_angle_gamma 90.00
_space_group_name_H-M_alt 'F -4 3 m'
_space_group_IT_number 216
_space_group_name_Hall 'F -4 2 3'
loop_
_atom_site_label
_atom_site_type_symbol
_atom_site_fract_x
_atom_site_fract_y
_atom_site_fract_z
Hg1 Hg 0.0000 0.0000 0.0000
As1 As 0.0000 0.0000 0.5000
As2 As 0.2500 0.2500 0.2500
Pb1 Pb 0.2500 0.2500 0.7500
# - Formation energy from the elements: 0.300 eV per atom
# - Total moment: 0.000 Bohr magnetons per cell
# - Energy above the lowest structure with this stoichiometry: 248.6 meV/atom
# - Calculated volume: 24.0 A^3/atom
# - Mass density: 9.66 g/cm³

---

# CaHfCr2Os (PBE, optimized geometry)
data_CaHfCr2Os
_cell_length_a 4.2567
_cell_length_b 4.2567
_cell_length_c 4.9025
_cell_angle_alpha 90.00
_cell_angle_beta 90.00
_cell_angle_gamma 90.00
_space_group_name_H-M_alt 'P 4/m m m'
_space_group_IT_number 123
_space_group_name_Hall '-P 4 2'
loop_
_atom_site_label
_atom_site_type_symbol
_atom_site_fract_x
_atom_site_fract_y
_atom_site_fract_z
Ca1 Ca 0.0000 0.0000 0.0000
Hf1 Hf 0.5000 0.5000 0.5000
Cr1 Cr 0.0000 0.5000 0.0000
Os1 Os 0.0000 0.0000 0.5000
# - Formation energy from the elements: 2.084 eV per atom
# - Total moment: 0.004 Bohr magnetons per cell
# - Calculated volume: 17.8 A^3/atom
# - Mass density: 9.59 g/cm³

---

# LaGaH3 (PBE, optimized geometry)
data_LaGaH3
_cell_length_a 4.4524
_cell_length_b 4.4524
_cell_length_c 4.4524
_cell_angle_alpha 90.00
_cell_angle_beta 90.00
_cell_angle_gamma 90.00
_space_group_name_H-M_alt 'P m -3 m'
_space_group_IT_number 221
_space_group_name_Hall '-P 4 2 3'
loop_
_atom_site_label
_atom_site_type_symbol
_atom_site_fract_x
_atom_site_fract_y
_atom_site_fract_z
La1 La 0.0000 0.0000 0.0000
Ga1 Ga 0.5000 0.5000 0.5000
H1 H 0.0000 0.0000 0.5000
# - Total moment: 0.000 Bohr magnetons per cell
# - Energy above the lowest structure with this stoichiometry: 388.4 meV/atom
# - Calculated volume: 17.7 A^3/atom
# - Mass density: 3.98 g/cm³

---

# BPO (PBE, optimized geometry)
data_BPO
_cell_length_a 3.7282
_cell_length_b 4.7237
_cell_length_c 4.7374
_cell_angle_alpha 99.68
_cell_angle_beta 104.35
_cell_angle_gamma 106.00
_space_group_name_H-M_alt 'P 1'
_space_group_IT_number 1
_space_group_name_Hall 'P 1'
loop_
_atom_site_label
_atom_site_type_symbol
_atom_site_fract_x
_atom_site_fract_y
_atom_site_fract_z
B1 B 0.0000 0.0000 0.0000
B2 B 0.2582 0.8449 0.7929
P1 P 0.3207 0.4646 0.1388
P2 P 0.9855 0.7623 0.3285
O1 O 0.2396 0.5288 0.8112
O2 O 0.6490 0.0374 0.8494
# - Total moment: 0.000 Bohr magnetons per cell
# - Energy above the lowest structure with this stoichiometry: 180.9 meV/atom
# - Calculated volume: 12.5 A^3/atom
# - E_form (uncorrected): -0.900 eV per atom
# - Mass density: 2.55 g/cm³

---

# Cd5SnHg12 (PBE, optimized geometry)
data_Cd5SnHg12
_cell_length_a 6.0352
_cell_length_b 11.1092
_cell_length_c 13.8534
_cell_angle_alpha 90.00
_cell_angle_beta 90.07
_cell_angle_gamma 90.00
_space_group_name_H-M_alt 'C 1 2/m 1'
_space_group_IT_number 12
_space_group_name_Hall '-C 2y'
loop_
_atom_site_label
_atom_site_type_symbol
_atom_site_fract_x
_atom_site_fract_y
_atom_site_fract_z
Cd1 Cd 0.0000 0.0000 0.0000
Cd2 Cd 0.0000 0.1372 0.5000
Cd3 Cd 0.0000 0.3625 0.0000
Sn1 Sn 0.0000 0.5000 0.5000
Hg1 Hg 0.1390 0.3131 0.3446
Hg2 Hg 0.1432 0.1832 0.1521
Hg3 Hg 0.1669 0.0000 0.3143
Hg4 Hg 0.1778 0.5000 0.1853
# - Formation energy from the elements: 0.034 eV per atom
# - Total moment: 0.000 Bohr magnetons per cell
# - Calculated volume: 25.8 A^3/atom
# - Mass density: 11.04 g/cm³